Entry from Alexandria: NbAlCr3 after structural relaxation (GGA-PBE).

Results
- electronic total energy (eV per atom) = -7.2168
- E_form (eV/atom) = 1.3197
- polymorph energy (0 for the lowest one) (eV/f.u.) = 0.00
- magnetic moment (μB/cell) = 5.4

Lattice parameters (Å, degrees): 4.366 4.366 4.366 90.00 90.00 90.00
Site moments in Bohr magnetons follow the coordinates.
Atoms (fractional coordinates):
Cr1 0.000 0.500 0.000  2.11
Cr2 0.500 0.000 0.000  1.77
Cr3 0.000 0.000 0.500  2.02
Al1 0.000 0.000 0.000  -0.04
Nb1 0.500 0.500 0.500  -0.77